Computed, not measured: a geometry-optimized Co5Br12Cl3 structure at the GGA-PBE level of DFT.

The space group is Ia-3d (No. 230) and the conventional cell measures 16.184, 16.184 and 16.184 Å, with angles of 90.00, 90.00 and 90.00 degrees. The distinct sites, in fractional coordinates, are Co at (0.000, 0.000, 0.000), Co at (0.000, 0.250, 0.375), Br at (0.038, 0.049, 0.645) and Cl at (0.000, 0.250, 0.125).

The total magnetic moment comes out at 44.48 Bohr magnetons per cell. The total energy comes out at -493.44 eV/cell. The value obtained for the density of states at the Fermi level is 1.4306 states/eV per atom.

Computed, not measured: a geometry-optimized CoBr3Cl structure at the GGA-PBE level of DFT.

The space group is I-4m2 (No. 119) and the conventional cell measures 5.320, 5.320 and 26.318 Å, with angles of 90.00, 90.00 and 90.00 degrees. The distinct sites, in fractional coordinates, are Co at (0.000, 0.000, 0.000), Co at (0.000, 0.500, 0.250), Br at (0.000, 0.000, 0.268), Br at (0.000, 0.256, 0.073) and Cl at (0.000, 0.500, 0.673).

The relative energy among the computed polymorphs is 566 meV/atom. The total magnetic moment comes out at 15.06 Bohr magnetons per cell. The value obtained for the density of states at the Fermi level is 1.3557 states/eV per atom.